No. 1
The following is a DFT calculation (GGA-PBE) of crystalline HoNpIn6 at its relaxed geometry.

The structure belongs to space group P4/mmm (No. 123); the cell edges are 4.627, 4.627 and 9.282 Å and the angles 90.00°, 90.00° and 90.00°. The inequivalent atoms are Ho at (0.000, 0.000, 0.000), Np at (0.000, 0.000, 0.500), In at (0.000, 0.500, 0.250), In at (0.500, 0.500, 0.000) and In at (0.500, 0.500, 0.500).

For the formation energy, the calculation gives -205 meV/atom.

***

No. 2
The following is a DFT calculation (GGA-PBE) of crystalline Ho2NpIn9 at its relaxed geometry.

The structure belongs to space group P4/mmm (No. 123); the cell edges are 4.624, 4.624 and 13.919 Å and the angles 90.00°, 90.00° and 90.00°. The inequivalent atoms are Ho at (0.000, 0.000, 0.165), Np at (0.000, 0.000, 0.500), In at (0.000, 0.500, 0.000), In at (0.000, 0.500, 0.333), In at (0.500, 0.500, 0.167) and In at (0.500, 0.500, 0.500).

For the formation energy, the calculation gives -269 meV/atom.

***

No. 3
The following is a DFT calculation (GGA-PBE) of crystalline HoNpIn2O8 at its relaxed geometry.

The structure belongs to space group P2/m (No. 10); the cell edges are 5.031, 6.770 and 5.035 Å and the angles 90.00°, 91.01° and 90.00°. The inequivalent atoms are Ho at (0.000, 0.000, 0.000), Np at (0.000, 0.500, 0.000), In at (0.500, 0.244, 0.500), O at (0.184, 0.277, 0.817), O at (0.297, 0.500, 0.299) and O at (0.308, 0.000, 0.309).

For the formation energy (no corrections), the calculation gives -2307 meV/atom.

***

No. 4
The following is a DFT calculation (GGA-PBE) of crystalline Ho2NpInO8 at its relaxed geometry.

The structure belongs to space group P2/m (No. 10); the cell edges are 5.012, 6.962 and 5.012 Å and the angles 90.00°, 92.66° and 90.00°. The inequivalent atoms are Ho at (0.000, 0.241, 0.000), Np at (0.500, 0.500, 0.500), In at (0.500, 0.000, 0.500), O at (0.204, 0.000, 0.203), O at (0.210, 0.500, 0.209) and O at (0.314, 0.279, 0.685).

For the formation energy (no corrections), the calculation gives -2755 meV/atom.

***

No. 5
The following is a DFT calculation (GGA-PBE) of crystalline Ho2NpIn3Te6 at its relaxed geometry.

The structure belongs to space group C2/m (No. 12); the cell edges are 7.661, 13.266 and 8.491 Å and the angles 90.00°, 107.53° and 90.00°. The inequivalent atoms are Ho at (0.000, 0.167, 0.000), Np at (0.000, 0.500, 0.000), In at (0.000, 0.000, 0.500), In at (0.000, 0.335, 0.500), Te at (0.234, 0.000, 0.218) and Te at (0.243, 0.331, 0.219).

For the formation energy (no corrections), the calculation gives -794 meV/atom.

***

No. 6
The following is a DFT calculation (GGA-PBE) of crystalline Ho2InO at its relaxed geometry.

The structure belongs to space group R-3m (No. 166, hexagonal axes); the cell edges are 5.0733, 5.0733 and 19.4262 Å and the angles 90.00°, 90.00° and 120.00°. The inequivalent atoms are Ho at (0.0000, 0.0000, 0.1033), In at (0.0000, 0.0000, 0.5000) and O at (0.0000, 0.0000, 0.0000).

For the formation energy (no corrections), the calculation gives -1162 meV/atom.

***

No. 7
The following is a DFT calculation (GGA-PBE) of crystalline Ho6In3O2 at its relaxed geometry.

The structure belongs to space group I4/mmm (No. 139); the cell edges are 4.662, 4.662 and 24.720 Å and the angles 90.00°, 90.00° and 90.00°. The inequivalent atoms are Ho at (0.000, 0.000, 0.195), Ho at (0.000, 0.500, 0.086), In at (0.000, 0.000, 0.324), In at (0.000, 0.000, 0.500) and O at (0.000, 0.000, 0.101).

For the formation energy (no corrections), the calculation gives -1287 meV/atom.

***

No. 8
The following is a DFT calculation (GGA-PBE) of crystalline Ho7In4O at its relaxed geometry.

The structure belongs to space group C2/m (No. 12); the cell edges are 16.745, 4.830 and 10.944 Å and the angles 90.00°, 129.40° and 90.00°. The inequivalent atoms are Ho at (0.000, 0.000, 0.000), Ho at (0.056, 0.500, 0.245), Ho at (0.125, 0.000, 0.551), Ho at (0.219, 0.500, 0.852), In at (0.082, 0.000, 0.796), In at (0.226, 0.000, 0.375) and O at (0.000, 0.500, 0.000).

For the formation energy (no corrections), the calculation gives -608 meV/atom.

***

No. 9
The following is a DFT calculation (GGA-PBE) of crystalline HoInO3 at its relaxed geometry.

The structure belongs to space group P2_1/m (No. 11); the cell edges are 5.613, 3.596 and 8.407 Å and the angles 90.00°, 106.13° and 90.00°. The inequivalent atoms are Ho at (0.212, 0.250, 0.415), In at (0.378, 0.250, 0.838), O at (0.047, 0.250, 0.631), O at (0.294, 0.750, 0.940) and O at (0.448, 0.750, 0.360).

For the formation energy (no corrections), the calculation gives -2494 meV/atom.

***

No. 10
The following is a DFT calculation (GGA-PBE) of crystalline HoInO3 at its relaxed geometry.

The structure belongs to space group P6_3cm (No. 185); the cell edges are 6.3304, 6.3304 and 12.3392 Å and the angles 90.00°, 90.00° and 120.00°. The inequivalent atoms are Ho at (0.0000, 0.0000, 0.0000), Ho at (0.3333, 0.6667, 0.4645), In at (0.0000, 0.3335, 0.2302), O at (0.0000, 0.0000, 0.1954), O at (0.0000, 0.3048, 0.4027), O at (0.0000, 0.3641, 0.0600) and O at (0.3333, 0.6667, 0.2619).

For the formation energy (no corrections), the calculation gives -2590 meV/atom.

***

No. 11
The following is a DFT calculation (GGA-PBE) of crystalline Ho2InO at its relaxed geometry.

The structure belongs to space group C2/m (No. 12); the cell edges are 6.428, 6.429 and 8.571 Å and the angles 90.00°, 97.87° and 90.00°. The inequivalent atoms are Ho at (0.000, 0.248, 0.000), Ho at (0.196, 0.500, 0.671), In at (0.185, 0.000, 0.685) and O at (0.230, 0.500, 0.936).

For the formation energy (no corrections), the calculation gives -1651 meV/atom.

***

No. 12
The following is a DFT calculation (GGA-PBE) of crystalline HoInO3 at its relaxed geometry.

The structure belongs to space group R-3 (No. 148, hexagonal axes); the cell edges are 5.6841, 5.6841 and 14.9371 Å and the angles 90.00°, 90.00° and 120.00°. The inequivalent atoms are Ho at (0.0000, 0.0000, 0.1401), In at (0.0000, 0.0000, 0.3550) and O at (0.0088, 0.7089, 0.2506).

For the formation energy (no corrections), the calculation gives -2543 meV/atom.